Entry 1:
This record from Alexandria via LeMat-Bulk describes a relaxed structure of Th4HgTe4. The functional is PBE-GGA.

Results
ρ   8.8 g cm⁻³
Final energy   -0.414 Ry/atom
DOS at the Fermi energy   13.1 states/eV/cell
Spin magnetization   0.00 μB/f.u.

Cell: 14.515 4.482 10.971 Å, 90.00 119.91 90.00°
Space group C2/m (No. 12)
Asymmetric unit:
1 Th 0.102 0.000 0.411 [4 per cell]
2 Th 0.197 0.500 0.794 [4 per cell]
3 Hg 0.000 0.500 0.500 [2 per cell]
4 Te 0.099 0.000 0.903 [4 per cell]
5 Te 0.183 0.500 0.279 [4 per cell]



Entry 2:
This record from Alexandria via LeMat-Bulk describes a relaxed structure of LaMgCo2H. The functional is PBE-GGA.

Results
ρ   6.6 g cm⁻³
Final energy   -0.336 Ry/atom
DOS at the Fermi energy   1.7 states/eV/cell
Spin magnetization   0.00 μB/f.u.

Cell: 4.310 4.310 3.846 Å, 90.00 90.00 90.00°
Space group P4/mmm (No. 123)
Asymmetric unit:
1 La 0.000 0.000 0.000 [1 per cell]
2 Mg 0.500 0.500 0.000 [1 per cell]
3 Co 0.000 0.500 0.500 [2 per cell]
4 H 0.500 0.500 0.500 [1 per cell]



Entry 3:
This record from Alexandria via LeMat-Bulk describes a relaxed structure of BaTeN. The functional is PBE-GGA.

Results
ρ   3.6 g cm⁻³
Final energy   -0.409 Ry/atom
ΔE to the lowest computed polymorph   0 meV per atom
Spin magnetization   0.00 μB/f.u.

Cell: 10.827 4.946 9.865 Å, 90.00 104.42 90.00°
Space group P2_1/c (No. 14)
Asymmetric unit:
1 Ba 0.160 0.250 0.419 [4 per cell]
2 Te 0.173 0.749 0.173 [4 per cell]
3 N 0.452 0.046 0.489 [4 per cell]



Entry 4:
This record from Alexandria via LeMat-Bulk describes a relaxed structure of Li3Cd2. The functional is PBE-GGA.

Results
ρ   3.7 g cm⁻³
Final energy   -0.119 Ry/atom
ΔE to the lowest computed polymorph   117 meV per atom
DOS at the Fermi energy   2.3 states/eV/cell
Spin magnetization   0.00 μB/f.u.
Formation energy from the elements   -0.52 eV/f.u.

Cell: 4.7063 4.7063 5.7160 Å, 90.00 90.00 120.00°
Space group P-3m1 (No. 164)
Asymmetric unit:
1 Li 0.0000 0.0000 0.0000 [1 per cell]
2 Li 0.3333 0.6667 0.3665 [2 per cell]
3 Cd 0.3333 0.6667 0.8699 [2 per cell]



Entry 5:
This record from Alexandria via LeMat-Bulk describes a relaxed structure of LiNb2CoAg. The functional is PBE-GGA.

Results
ρ   6.5 g cm⁻³
Final energy   -0.420 Ry/atom
DOS at the Fermi energy   6.1 states/eV/cell
Spin magnetization   0.00 μB/f.u.
Formation energy from the elements   3.43 eV/f.u.

Cell: 4.558 4.558 4.418 Å, 90.00 90.00 90.00°
Space group P4/mmm (No. 123)
Asymmetric unit:
1 Li 0.000 0.000 0.000 [1 per cell]
2 Nb 0.000 0.500 0.500 [2 per cell]
3 Co 0.000 0.000 0.500 [1 per cell]
4 Ag 0.500 0.500 0.000 [1 per cell]



Entry 6:
This record from Alexandria via LeMat-Bulk describes a relaxed structure of Tb4NiBi. The functional is PBE-GGA.

Results
ρ   9.0 g cm⁻³
Final energy   -0.377 Ry/atom
ΔE to the lowest computed polymorph   0 meV per atom
DOS at the Fermi energy   10.8 states/eV/cell
Spin magnetization   0.00 μB/f.u.
Formation energy from the elements   -2.57 eV/f.u.

Cell: 6.074 6.670 8.773 Å, 90.00 109.89 90.00°
Space group P2_1/m (No. 11)
Asymmetric unit:
1 Tb 0.139 0.250 0.077 [2 per cell]
2 Tb 0.265 0.750 0.364 [2 per cell]
3 Tb 0.313 0.501 0.795 [4 per cell]
4 Ni 0.323 0.750 0.061 [2 per cell]
5 Bi 0.170 0.250 0.448 [2 per cell]